No. 1
Here is a relaxed Tl2In5Hg3 crystal from Alexandria. Energies are from GGA-PBE.

Calculated values
- Relative energy among the computed polymorphs: 0.000 eV per atom
- ΔH_f (0 K): 13 meV/atom

abc: 11.531 15.151 6.392
angles: 90.00 93.87 90.00
Space group C2/c (No. 15)
Symmetry-distinct sites (fractional):
Tl 0.117 0.223 0.099 (multiplicity 8)
In 0.000 0.018 0.250 (multiplicity 4)
In 0.116 0.344 0.631 (multiplicity 8)
In 0.226 0.458 0.011 (multiplicity 8)
Hg 0.000 0.438 0.250 (multiplicity 4)
Hg 0.152 0.145 0.604 (multiplicity 8)

=====

No. 2
Here is a relaxed Tl3In2Hg5 crystal from Alexandria. Energies are from GGA-PBE.

Calculated values
- Relative energy among the computed polymorphs: 0.048 eV per atom
- ΔH_f (0 K): 51 meV/atom

abc: 13.104 13.749 6.726
angles: 90.00 90.00 90.00
Space group Ibam (No. 72)
Symmetry-distinct sites (fractional):
Tl 0.000 0.000 0.250 (multiplicity 4)
Tl 0.217 0.140 0.000 (multiplicity 8)
In 0.123 0.152 0.500 (multiplicity 8)
Hg 0.000 0.284 0.250 (multiplicity 8)
Hg 0.000 0.500 0.250 (multiplicity 4)
Hg 0.168 0.411 0.000 (multiplicity 8)

=====

No. 3
Here is a relaxed Tl3In2Hg8 crystal from Alexandria. Energies are from GGA-PBE.

Calculated values
- Relative energy among the computed polymorphs: 0.059 eV per atom
- ΔH_f (0 K): 54 meV/atom

abc: 6.1656 6.1656 35.0003
angles: 90.00 90.00 120.00
Space group R-3m (No. 166, hexagonal axes)
Symmetry-distinct sites (fractional):
Tl 0.0000 0.0000 0.0000 (multiplicity 3)
Tl 0.0000 0.0000 0.1837 (multiplicity 6)
In 0.0000 0.0000 0.3604 (multiplicity 6)
Hg 0.0000 0.0000 0.2771 (multiplicity 6)
Hg 0.0021 0.5010 0.7687 (multiplicity 18)

=====

No. 4
Here is a relaxed TlIn5Hg crystal from Alexandria. Energies are from GGA-PBE.

Calculated values
- ΔH_f (0 K): 55 meV/atom

abc: 4.969 4.969 8.186
angles: 90.00 90.00 90.00
Space group P4/mmm (No. 123)
Symmetry-distinct sites (fractional):
Tl 0.000 0.000 0.000 (multiplicity 1)
In 0.000 0.500 0.281 (multiplicity 4)
In 0.500 0.500 0.000 (multiplicity 1)
Hg 0.000 0.000 0.500 (multiplicity 1)

=====

No. 5
Here is a relaxed Tl2InHg crystal from Alexandria. Energies are from GGA-PBE.

Calculated values
- Relative energy among the computed polymorphs: 0.012 eV per atom
- ΔH_f (0 K): 13 meV/atom

abc: 4.247 5.538 9.814
angles: 90.00 90.00 90.00
Space group Cmm2 (No. 35)
Symmetry-distinct sites (fractional):
Tl 0.000 0.000 0.000 (multiplicity 2)
Tl 0.000 0.500 0.273 (multiplicity 2)
In 0.000 0.500 0.743 (multiplicity 2)
Hg 0.000 0.000 0.517 (multiplicity 2)

=====

No. 6
Here is a relaxed Tl3InHg4 crystal from Alexandria. Energies are from GGA-PBE.

Calculated values
- Relative energy among the computed polymorphs: 0.027 eV per atom
- ΔH_f (0 K): 18 meV/atom

abc: 6.394 11.099 6.593
angles: 90.00 90.00 90.00
Space group Imm2 (No. 44)
Symmetry-distinct sites (fractional):
Tl 0.000 0.000 0.000 (multiplicity 2)
Tl 0.000 0.275 0.251 (multiplicity 4)
In 0.000 0.500 0.587 (multiplicity 2)
Hg 0.000 0.241 0.745 (multiplicity 4)
Hg 0.241 0.000 0.502 (multiplicity 4)